No. 1
## YNi2RhC (PBE-GGA)

Data for an optimized crystal structure of YNi2RhC.

Cell lengths 3.992, 3.992, 4.197 Å; angles 90.00, 90.00, 90.00 degrees
Element x y z (fractional)
C  0.000  0.000  0.000
Y  0.500  0.500  0.500
Ni  0.000  0.500  0.000
Ni  0.500  0.000  0.000
Rh  0.000  0.000  0.500

Summary:
**Symmetry**: P4/mmm, No. 123
**Calculated formation energy**: -0.23 eV/atom
**Total DFT energy (no corrections)**: -7.15 eV/atom



No. 2
## PmCu4SbP2 (PBE-GGA)

Data for an optimized crystal structure of PmCu4SbP2.

Cell lengths 3.801, 3.801, 9.538 Å; angles 90.00, 90.00, 90.00 degrees
Element x y z (fractional)
Cu  0.000  0.500  0.204
Cu  0.500  0.000  0.204
Cu  0.500  0.000  0.796
Cu  0.000  0.500  0.796
Pm  0.000  0.000  0.500
P  0.500  0.500  0.656
P  0.500  0.500  0.344
Sb  0.000  0.000  0.000

Summary:
**Symmetry**: P4/mmm, No. 123
**ΔE_f (raw)**: -0.389 eV per atom
**Total DFT energy (no corrections)**: -4.90 eV/atom



No. 3
## BaTc2Br (PBE-GGA)

Data for an optimized crystal structure of BaTc2Br.

Cell lengths 3.295, 3.312, 8.583 Å; angles 78.89, 90.00, 90.00 degrees
Element x y z (fractional)
Br  0.500  0.927  0.773
Tc  0.500  0.219  0.186
Tc  0.000  0.785  0.052
Ba  0.000  0.569  0.489

Summary:
**Symmetry**: Pm, No. 6
**ΔE_f (raw)**: 0.159 eV per atom
**Total DFT energy (no corrections)**: -5.92 eV/atom



No. 4
## TmCd2Hg3 (PBE-GGA)

Data for an optimized crystal structure of TmCd2Hg3.

Cell lengths 3.874, 4.873, 15.172 Å; angles 90.00, 90.00, 90.00 degrees
Element x y z (fractional)
Tm  0.999  0.500  0.500
Tm  0.001  0.000  0.000
Hg  0.499  0.500  0.340
Hg  0.501  0.000  0.160
Hg  0.498  0.000  0.500
Hg  0.501  0.000  0.840
Hg  0.499  0.500  0.660
Hg  0.502  0.500  0.000
Cd  0.001  0.500  0.173
Cd  0.999  0.000  0.673
Cd  0.001  0.500  0.827
Cd  0.999  0.000  0.327

Summary:
**Symmetry**: Pmmn, No. 59
**Calculated formation energy**: -0.17 eV/atom
**Total DFT energy (no corrections)**: -1.38 eV/atom



No. 5
## K2BeBr (PBE-GGA)

Data for an optimized crystal structure of K2BeBr.

Cell lengths 4.562, 4.562, 9.099 Å; angles 76.08, 76.08, 59.03 degrees
Element x y z (fractional)
Br  0.250  0.250  0.250
Be  0.750  0.750  0.750
K  0.993  0.993  0.017
K  0.507  0.507  0.483

Summary:
**Symmetry**: C2/m, No. 12
**ΔE_f (raw)**: -0.158 eV per atom
**Total DFT energy (no corrections)**: -2.06 eV/atom



No. 6
## Y2ZnCd2 (PBE-GGA)

Data for an optimized crystal structure of Y2ZnCd2.

Cell lengths 3.482, 3.552, 10.342 Å; angles 80.11, 90.00, 90.00 degrees
Element x y z (fractional)
Cd  0.000  0.193  0.615
Cd  0.000  0.807  0.385
Y  0.500  0.412  0.176
Y  0.500  0.588  0.824
Zn  0.000  0.000  0.000

Summary:
**Symmetry**: Cmmm, No. 65
**Calculated formation energy**: -0.22 eV/atom
**Total DFT energy (no corrections)**: -3.43 eV/atom



No. 7
## Nd3Sm3Pd4 (PBE-GGA)

Data for an optimized crystal structure of Nd3Sm3Pd4.

Cell lengths 3.970, 8.063, 8.063 Å; angles 90.54, 90.00, 90.00 degrees
Element x y z (fractional)
Nd  0.000  0.001  0.499
Nd  0.000  0.501  0.999
Nd  0.500  0.166  0.834
Sm  0.500  0.334  0.332
Sm  0.500  0.833  0.167
Sm  0.500  0.668  0.666
Pd  0.000  0.376  0.624
Pd  0.000  0.125  0.130
Pd  0.000  0.628  0.372
Pd  0.000  0.870  0.875

Summary:
**Symmetry**: Amm2, No. 38
**Calculated formation energy**: -0.64 eV/atom
**Total DFT energy (no corrections)**: -5.57 eV/atom



No. 8
## La2Ga5Rh3 (PBE-GGA)

Data for an optimized crystal structure of La2Ga5Rh3.

Cell lengths 5.828, 8.734, 8.734 Å; angles 71.78, 70.51, 70.51 degrees
Element x y z (fractional)
Rh  0.146  0.258  0.449
Rh  0.646  0.449  0.258
Rh  0.354  0.551  0.742
Rh  0.750  0.000  0.000
Rh  0.854  0.742  0.551
Rh  0.250  0.000  0.000
La  0.363  0.862  0.413
La  0.137  0.587  0.138
La  0.637  0.138  0.587
La  0.863  0.413  0.862
Ga  0.457  0.793  0.793
Ga  0.592  0.741  0.075
Ga  0.408  0.259  0.925
Ga  0.543  0.207  0.207
Ga  0.250  0.500  0.500
Ga  0.092  0.075  0.741
Ga  0.908  0.925  0.259
Ga  0.957  0.793  0.793
Ga  0.750  0.500  0.500
Ga  0.043  0.207  0.207

Summary:
**Symmetry**: Ibam, No. 72
**Calculated formation energy**: -0.81 eV/atom
**Total DFT energy (no corrections)**: -5.52 eV/atom



No. 9
## K2Ag2Au (PBE-GGA)

Data for an optimized crystal structure of K2Ag2Au.

Cell lengths 4.966, 5.656, 6.421 Å; angles 116.13, 112.75, 90.00 degrees
Element x y z (fractional)
K  0.195  0.695  0.390
K  0.805  0.305  0.610
Au  0.000  0.000  0.000
Ag  0.500  0.747  0.000
Ag  0.500  0.253  0.000

Summary:
**Symmetry**: Immm, No. 71
**Calculated formation energy**: -0.13 eV/atom
**Total DFT energy (no corrections)**: -2.37 eV/atom



No. 10
## AlFe2Br (PBE-GGA)

Data for an optimized crystal structure of AlFe2Br.

Cell lengths 4.395, 4.395, 4.395 Å; angles 60.00, 60.00, 60.00 degrees
Element x y z (fractional)
Br  0.250  0.250  0.250
Fe  0.750  0.750  0.750
Fe  0.000  0.000  0.000
Al  0.500  0.500  0.500

Summary:
**Symmetry**: F-43m, No. 216
**ΔE_f (raw)**: 0.721 eV per atom
**Total DFT energy (no corrections)**: -4.86 eV/atom



Question: total DFT energy (no corrections) of number 8 (La2Ga5Rh3)?
Answer: -5.52 eV/atom



Question: What is the total DFT energy (no corrections) in the seventh record?
Answer: -5.57 eV/atom



Question: What is the formula in the eighth record?
Answer: La2Ga5Rh3



Question: Look up the total DFT energy (no corrections) of the sixth one.
Answer: -3.43 eV/atom